*w*
The following is a DFT calculation (GGA-PBE) of crystalline Zr2TaCr at its relaxed geometry.

## Properties
M_tot, μB per cell: 0.0
Crystal system: monoclinic

Cell lengths 3.079, 4.255, 5.961 Å; angles 90.00, 103.32, 90.00 degrees
Fractional coordinates of all 4 atoms:
Zr: 0.000 0.000 0.000
Zr: 0.295 0.500 0.700
Ta: 0.617 0.000 0.441
Cr: 0.797 0.500 0.240


*x*
The following is a DFT calculation (GGA-PBE) of crystalline Zr2TaCr at its relaxed geometry.

## Properties
M_tot, μB per cell: 0.0
Crystal system: cubic

Cell lengths 6.656, 6.656, 6.656 Å; angles 90.00, 90.00, 90.00 degrees
Fractional coordinates of all 16 atoms:
Zr: 0.000 0.000 0.000
Zr: 0.000 0.500 0.500
Zr: 0.250 0.250 0.250
Zr: 0.250 0.750 0.750
Zr: 0.500 0.000 0.500
Zr: 0.500 0.500 0.000
Zr: 0.750 0.250 0.750
Zr: 0.750 0.750 0.250
Ta: 0.250 0.250 0.750
Ta: 0.250 0.750 0.250
Ta: 0.750 0.250 0.250
Ta: 0.750 0.750 0.750
Cr: 0.000 0.000 0.500
Cr: 0.000 0.500 0.000
Cr: 0.500 0.000 0.000
Cr: 0.500 0.500 0.500


Which structure is most stable? *w*, by 53 meV/atom over the runner-up.


*w*
The following is a DFT calculation (GGA-PBE) of crystalline Zr2TaCr at its relaxed geometry.

## Properties
M_tot, μB per cell: 1.8
Crystal system: tetragonal

Cell lengths 4.830, 4.830, 3.322 Å; angles 90.00, 90.00, 90.00 degrees
Fractional coordinates of all 4 atoms:
Zr: 0.000 0.500 0.000
Zr: 0.500 0.000 0.000
Ta: 0.000 0.000 0.500
Cr: 0.500 0.500 0.500


*x*
The following is a DFT calculation (GGA-PBE) of crystalline Zr2TaCr at its relaxed geometry.

## Properties
M_tot, μB per cell: 1.9
Crystal system: tetragonal

Cell lengths 3.305, 3.305, 6.973 Å; angles 90.00, 90.00, 90.00 degrees
Fractional coordinates of all 4 atoms:
Zr: 0.000 0.000 0.232
Zr: 0.000 0.000 0.768
Ta: 0.500 0.500 0.500
Cr: 0.500 0.500 0.000


Which structure is most stable? *x*, by 28 meV/atom over the runner-up.


*w*
The following is a DFT calculation (GGA-PBE) of crystalline Zr2TaCr at its relaxed geometry.

## Properties
M_tot, μB per cell: 1.4
Crystal system: orthorhombic

Cell lengths 3.299, 4.757, 4.810 Å; angles 90.00, 90.00, 90.00 degrees
Fractional coordinates of all 4 atoms:
Zr: 0.000 0.000 0.000
Zr: 0.500 0.000 0.500
Ta: 0.000 0.500 0.500
Cr: 0.500 0.500 0.000


*x*
The following is a DFT calculation (GGA-PBE) of crystalline Zr2TaCr at its relaxed geometry.

## Properties
M_tot, μB per cell: 0.0
Crystal system: orthorhombic

Cell lengths 3.262, 4.963, 9.343 Å; angles 90.00, 90.00, 90.00 degrees
Fractional coordinates of all 8 atoms:
Zr: 0.000 0.000 0.000
Zr: 0.000 0.500 0.304
Zr: 0.500 0.000 0.304
Zr: 0.500 0.500 0.000
Ta: 0.000 0.500 0.731
Ta: 0.500 0.000 0.731
Cr: 0.000 0.000 0.528
Cr: 0.500 0.500 0.528


Which structure is most stable? *x*, by 104 meV/atom over the runner-up.


*w*
The following is a DFT calculation (GGA-PBE) of crystalline Zr2TaCr at its relaxed geometry.

## Properties
M_tot, μB per cell: 0.0
Crystal system: orthorhombic

Cell lengths 3.303, 4.932, 9.141 Å; angles 90.00, 90.00, 90.00 degrees
Fractional coordinates of all 8 atoms:
Zr: 0.000 0.000 0.223
Zr: 0.000 0.000 0.777
Zr: 0.500 0.500 0.223
Zr: 0.500 0.500 0.777
Ta: 0.000 0.500 0.500
Ta: 0.500 0.000 0.500
Cr: 0.000 0.500 0.000
Cr: 0.500 0.000 0.000


*x*
The following is a DFT calculation (GGA-PBE) of crystalline Zr2TaCr at its relaxed geometry.

## Properties
M_tot, μB per cell: 0.0
Crystal system: orthorhombic

Cell lengths 3.279, 4.800, 9.477 Å; angles 90.00, 90.00, 90.00 degrees
Fractional coordinates of all 8 atoms:
Zr: 0.000 0.000 0.222
Zr: 0.000 0.000 0.778
Zr: 0.500 0.500 0.278
Zr: 0.500 0.500 0.722
Ta: 0.000 0.500 0.000
Ta: 0.500 0.000 0.500
Cr: 0.000 0.500 0.500
Cr: 0.500 0.000 0.000


*y*
The following is a DFT calculation (GGA-PBE) of crystalline Zr2TaCr at its relaxed geometry.

## Properties
M_tot, μB per cell: 0.5
Crystal system: trigonal

Cell lengths 3.145, 3.145, 26.670 Å; angles 90.00, 90.00, 120.00 degrees
Fractional coordinates of all 12 atoms:
Zr: 0.000 0.000 0.241
Zr: 0.000 0.000 0.759
Zr: 0.333 0.667 0.426
Zr: 0.333 0.667 0.908
Zr: 0.667 0.333 0.092
Zr: 0.667 0.333 0.574
Ta: 0.000 0.000 0.000
Ta: 0.333 0.667 0.667
Ta: 0.667 0.333 0.333
Cr: 0.000 0.000 0.500
Cr: 0.333 0.667 0.167
Cr: 0.667 0.333 0.833


*z*
The following is a DFT calculation (GGA-PBE) of crystalline Zr2TaCr at its relaxed geometry.

## Properties
M_tot, μB per cell: 0.0
Crystal system: trigonal

Cell lengths 3.128, 3.128, 27.188 Å; angles 90.00, 90.00, 120.00 degrees
Fractional coordinates of all 12 atoms:
Zr: 0.000 0.000 0.000
Zr: 0.000 0.000 0.234
Zr: 0.333 0.667 0.667
Zr: 0.333 0.667 0.901
Zr: 0.667 0.333 0.333
Zr: 0.667 0.333 0.567
Ta: 0.000 0.000 0.476
Ta: 0.333 0.667 0.143
Ta: 0.667 0.333 0.809
Cr: 0.000 0.000 0.743
Cr: 0.333 0.667 0.409
Cr: 0.667 0.333 0.076


Which structure is most stable? *x*, by 52 meV/atom over the runner-up.


*w*
The following is a DFT calculation (GGA-PBE) of crystalline Zr2TaCr at its relaxed geometry.

## Properties
M_tot, μB per cell: 10.4
Crystal system: cubic

Cell lengths 6.774, 6.774, 6.774 Å; angles 90.00, 90.00, 90.00 degrees
Fractional coordinates of all 16 atoms:
Zr: 0.250 0.250 0.250
Zr: 0.250 0.250 0.750
Zr: 0.250 0.750 0.250
Zr: 0.250 0.750 0.750
Zr: 0.750 0.250 0.250
Zr: 0.750 0.250 0.750
Zr: 0.750 0.750 0.250
Zr: 0.750 0.750 0.750
Ta: 0.000 0.000 0.000
Ta: 0.000 0.500 0.500
Ta: 0.500 0.000 0.500
Ta: 0.500 0.500 0.000
Cr: 0.000 0.000 0.500
Cr: 0.000 0.500 0.000
Cr: 0.500 0.000 0.000
Cr: 0.500 0.500 0.500


*x*
The following is a DFT calculation (GGA-PBE) of crystalline Zr2TaCr at its relaxed geometry.

## Properties
M_tot, μB per cell: 5.9
Crystal system: tetragonal

Cell lengths 4.073, 4.073, 9.483 Å; angles 90.00, 90.00, 90.00 degrees
Fractional coordinates of all 8 atoms:
Zr: 0.000 0.000 0.000
Zr: 0.000 0.500 0.250
Zr: 0.500 0.000 0.750
Zr: 0.500 0.500 0.500
Ta: 0.000 0.000 0.500
Ta: 0.500 0.500 0.000
Cr: 0.000 0.500 0.750
Cr: 0.500 0.000 0.250


Which structure is most stable? *w*, by 63 meV/atom over the runner-up.


*w*
The following is a DFT calculation (GGA-PBE) of crystalline Zr2TaCr at its relaxed geometry.

## Properties
M_tot, μB per cell: 4.3
Crystal system: monoclinic

Cell lengths 5.840, 9.337, 3.000 Å; angles 90.00, 110.27, 90.00 degrees
Fractional coordinates of all 8 atoms:
Zr: 0.250 0.250 0.000
Zr: 0.250 0.750 0.000
Zr: 0.750 0.250 0.000
Zr: 0.750 0.750 0.000
Ta: 0.000 0.000 0.500
Ta: 0.500 0.500 0.500
Cr: 0.000 0.500 0.500
Cr: 0.500 0.000 0.500


*x*
The following is a DFT calculation (GGA-PBE) of crystalline Zr2TaCr at its relaxed geometry.

## Properties
M_tot, μB per cell: 0.5
Crystal system: tetragonal

Cell lengths 3.214, 3.214, 7.314 Å; angles 90.00, 90.00, 90.00 degrees
Fractional coordinates of all 4 atoms:
Zr: 0.000 0.000 0.000
Zr: 0.500 0.500 0.304
Ta: 0.500 0.500 0.725
Cr: 0.000 0.000 0.541


*y*
The following is a DFT calculation (GGA-PBE) of crystalline Zr2TaCr at its relaxed geometry.

## Properties
M_tot, μB per cell: 1.3
Crystal system: monoclinic

Cell lengths 3.016, 4.626, 5.564 Å; angles 90.00, 102.96, 90.00 degrees
Fractional coordinates of all 4 atoms:
Zr: 0.200 0.000 0.259
Zr: 0.800 0.000 0.741
Ta: 0.500 0.500 0.000
Cr: 0.000 0.500 0.500


*z*
The following is a DFT calculation (GGA-PBE) of crystalline Zr2TaCr at its relaxed geometry.

## Properties
M_tot, μB per cell: 0.0
Crystal system: orthorhombic

Cell lengths 3.284, 4.829, 9.603 Å; angles 90.00, 90.00, 90.00 degrees
Fractional coordinates of all 8 atoms:
Zr: 0.000 0.000 0.000
Zr: 0.000 0.500 0.225
Zr: 0.500 0.000 0.725
Zr: 0.500 0.500 0.500
Ta: 0.000 0.000 0.443
Ta: 0.500 0.500 0.943
Cr: 0.000 0.500 0.744
Cr: 0.500 0.000 0.244


Which structure is most stable? *x*, by 37 meV/atom over the runner-up.


*w*
The following is a DFT calculation (GGA-PBE) of crystalline Zr3TaCr at its relaxed geometry.

## Properties
M_tot, μB per cell: 0.1
Crystal system: cubic

Cell lengths 5.069, 5.069, 5.069 Å; angles 90.00, 90.00, 90.00 degrees
Fractional coordinates of all 5 atoms:
Zr: 0.000 0.000 0.500
Zr: 0.000 0.500 0.000
Zr: 0.500 0.000 0.000
Ta: 0.000 0.000 0.000
Cr: 0.500 0.500 0.500


*x*
The following is a DFT calculation (GGA-PBE) of crystalline Zr3TaCr at its relaxed geometry.

## Properties
M_tot, μB per cell: 0.0
Crystal system: cubic

Cell lengths 4.796, 4.796, 4.796 Å; angles 90.00, 90.00, 90.00 degrees
Fractional coordinates of all 5 atoms:
Zr: 0.000 0.000 0.500
Zr: 0.000 0.500 0.000
Zr: 0.500 0.000 0.000
Ta: 0.500 0.500 0.500
Cr: 0.000 0.000 0.000


Which structure is most stable? *x*, by 756 meV/atom over the runner-up.


*w*
The following is a DFT calculation (GGA-PBE) of crystalline Zr2Ta2Cr at its relaxed geometry.

## Properties
M_tot, μB per cell: 0.0
Crystal system: tetragonal

Cell lengths 6.417, 6.417, 4.845 Å; angles 90.00, 90.00, 90.00 degrees
Fractional coordinates of all 10 atoms:
Zr: 0.163 0.337 0.000
Zr: 0.337 0.837 0.000
Zr: 0.663 0.163 0.000
Zr: 0.837 0.663 0.000
Ta: 0.156 0.656 0.500
Ta: 0.344 0.156 0.500
Ta: 0.656 0.844 0.500
Ta: 0.844 0.344 0.500
Cr: 0.000 0.000 0.500
Cr: 0.500 0.500 0.500


*x*
The following is a DFT calculation (GGA-PBE) of crystalline Zr2Ta2Cr at its relaxed geometry.

## Properties
M_tot, μB per cell: 7.5
Crystal system: tetragonal

Cell lengths 3.846, 3.846, 14.829 Å; angles 90.00, 90.00, 90.00 degrees
Fractional coordinates of all 10 atoms:
Zr: 0.000 0.000 0.098
Zr: 0.000 0.000 0.902
Zr: 0.500 0.500 0.402
Zr: 0.500 0.500 0.598
Ta: 0.000 0.500 0.250
Ta: 0.000 0.500 0.750
Ta: 0.500 0.000 0.250
Ta: 0.500 0.000 0.750
Cr: 0.000 0.000 0.500
Cr: 0.500 0.500 0.000


Which structure is most stable? *w*, by 473 meV/atom over the runner-up.